(1)
A PBEsol-optimized structure of SrGaCoP2. Source: the Alexandria database, functional meta-GGA SCAN.

Cell: 4.510 4.530 4.530 Å, 90.00 90.00 90.00°
Sites, in units of the cell vectors:
Sr  0.500  0.500  0.500
P  0.000  0.500  0.000
P  0.000  0.000  0.500
Co  0.000  0.000  0.000
Ga  0.500  0.000  0.000

Results
The calculation puts the total energy at -15.49 eV/atom. The spin magnetization is 0.0 μB per cell. The energy of formation comes out at -0.148 eV/atom.

=====

(2)
A PBEsol-optimized structure of GaCoPb3. Source: the Alexandria database, functional meta-GGA SCAN.

Cell: 5.014 5.014 5.014 Å, 90.00 90.00 90.00°
Sites, in units of the cell vectors:
Co  0.000  0.000  0.000
Pb  0.000  0.000  0.500
Pb  0.500  0.000  0.000
Pb  0.000  0.500  0.000
Ga  0.500  0.500  0.500

Results
The calculation puts the total energy at -51.86 eV/atom. The spin magnetization is 0.8 μB per cell. The energy of formation comes out at 0.334 eV/atom.

=====

(3)
A PBEsol-optimized structure of Ga2Co2Pd. Source: the Alexandria database, functional meta-GGA SCAN.

Cell: 3.281 3.281 6.719 Å, 104.13 104.13 90.00°
Sites, in units of the cell vectors:
Pd  0.000  0.000  0.000
Ga  0.606  0.606  0.212
Ga  0.394  0.394  0.788
Co  0.250  0.750  0.500
Co  0.750  0.250  0.500

Results
The calculation puts the total energy at -20.07 eV/atom. The spin magnetization is 3.4 μB per cell. The energy of formation comes out at -0.050 eV/atom.

=====

(4)
A PBEsol-optimized structure of PrGa8Co2. Source: the Alexandria database, functional meta-GGA SCAN.

Cell: 3.994 12.244 14.185 Å, 90.00 90.00 90.00°
Sites, in units of the cell vectors:
Co  0.500  0.346  0.904
Co  0.500  0.154  0.404
Co  0.500  0.465  0.595
Co  0.500  0.654  0.096
Co  0.500  0.035  0.095
Co  0.500  0.965  0.905
Co  0.500  0.535  0.405
Co  0.500  0.846  0.596
Pr  0.500  0.842  0.320
Pr  0.500  0.342  0.180
Pr  0.500  0.158  0.680
Pr  0.500  0.658  0.820
Ga  0.000  0.976  0.632
Ga  0.500  0.159  0.956
Ga  0.000  0.172  0.509
Ga  0.500  0.902  0.753
Ga  0.500  0.659  0.544
Ga  0.000  0.828  0.491
Ga  0.000  0.162  0.122
Ga  0.000  0.000  0.000
Ga  0.000  0.049  0.819
Ga  0.000  0.328  0.009
Ga  0.000  0.739  0.175
Ga  0.500  0.841  0.044
Ga  0.500  0.598  0.253
Ga  0.000  0.261  0.825
Ga  0.000  0.951  0.181
Ga  0.500  0.098  0.247
Ga  0.000  0.549  0.681
Ga  0.000  0.476  0.868
Ga  0.500  0.341  0.456
Ga  0.000  0.338  0.622
Ga  0.000  0.761  0.675
Ga  0.000  0.838  0.878
Ga  0.000  0.662  0.378
Ga  0.500  0.500  0.000
Ga  0.000  0.451  0.319
Ga  0.000  0.672  0.991
Ga  0.500  0.000  0.500
Ga  0.000  0.500  0.500
Ga  0.000  0.024  0.368
Ga  0.000  0.524  0.132
Ga  0.500  0.402  0.747
Ga  0.000  0.239  0.325

Results
The calculation puts the total energy at -19.36 eV/atom. The spin magnetization is 0.0 μB per cell. The energy of formation comes out at -0.383 eV/atom.

=====

(5)
A PBEsol-optimized structure of PrGa3Co10. Source: the Alexandria database, functional meta-GGA SCAN.

Cell: 7.859 7.859 7.946 Å, 119.39 119.39 90.45°
Sites, in units of the cell vectors:
Pr  0.748  0.248  0.497
Pr  0.248  0.748  0.497
Co  0.303  0.064  0.006
Co  0.795  0.554  0.349
Co  0.554  0.795  0.349
Co  0.713  0.713  0.651
Co  0.204  0.437  0.641
Co  0.437  0.204  0.641
Co  0.942  0.703  0.006
Co  0.800  0.440  0.001
Co  0.440  0.800  0.001
Co  0.064  0.064  0.347
Co  0.283  0.283  0.347
Co  0.938  0.938  0.651
Co  0.002  0.002  0.003
Co  0.941  0.296  0.236
Co  0.562  0.201  0.001
Co  0.064  0.303  0.006
Co  0.296  0.941  0.236
Co  0.201  0.562  0.001
Co  0.501  0.501  0.003
Co  0.703  0.942  0.006
Ga  0.196  0.196  0.751
Ga  0.698  0.059  0.757
Ga  0.447  0.447  0.254
Ga  0.059  0.698  0.757
Ga  0.555  0.555  0.751
Ga  0.806  0.806  0.254

Results
The calculation puts the total energy at -19.08 eV/atom. The spin magnetization is 29.1 μB per cell. The energy of formation comes out at -0.123 eV/atom.

=====

(6)
A PBEsol-optimized structure of PrGaCo. Source: the Alexandria database, functional meta-GGA SCAN.

Cell: 4.513 7.305 6.644 Å, 90.00 90.00 90.00°
Sites, in units of the cell vectors:
Ga  0.250  0.186  0.617
Ga  0.750  0.814  0.383
Ga  0.250  0.686  0.883
Ga  0.750  0.314  0.117
Co  0.750  0.143  0.437
Co  0.250  0.357  0.937
Co  0.250  0.857  0.563
Co  0.750  0.643  0.063
Pr  0.750  0.463  0.684
Pr  0.250  0.037  0.184
Pr  0.750  0.963  0.816
Pr  0.250  0.537  0.316

Results
The calculation puts the total energy at -26.02 eV/atom. The spin magnetization is 0.0 μB per cell. The energy of formation comes out at -0.364 eV/atom.

=====

(7)
A PBEsol-optimized structure of PrGa2Co3. Source: the Alexandria database, functional meta-GGA SCAN.

Cell: 3.715 5.239 5.239 Å, 120.00 90.00 90.00°
Sites, in units of the cell vectors:
Pr  0.000  0.000  0.000
Co  0.500  0.500  0.000
Co  0.500  0.500  0.500
Co  0.500  0.000  0.500
Ga  0.000  0.667  0.333
Ga  0.000  0.333  0.667

Results
The calculation puts the total energy at -21.58 eV/atom. The spin magnetization is 2.6 μB per cell. The energy of formation comes out at -0.260 eV/atom.

=====

(8)
A PBEsol-optimized structure of GaCoRh3. Source: the Alexandria database, functional meta-GGA SCAN.

Cell: 4.366 4.366 4.366 Å, 90.00 90.00 90.00°
Sites, in units of the cell vectors:
Rh  0.000  0.000  0.500
Rh  0.500  0.000  0.000
Rh  0.000  0.500  0.000
Ga  0.500  0.500  0.500
Co  0.000  0.000  0.000

Results
The calculation puts the total energy at -26.08 eV/atom. The spin magnetization is 3.8 μB per cell. The energy of formation comes out at 0.909 eV/atom.

=====

(9)
A PBEsol-optimized structure of YGaCoRh2. Source: the Alexandria database, functional meta-GGA SCAN.

Cell: 4.711 4.711 5.205 Å, 90.00 90.00 90.00°
Sites, in units of the cell vectors:
Co  0.500  0.500  0.500
Rh  0.500  0.000  0.000
Rh  0.000  0.500  0.000
Ga  0.000  0.000  0.500
Y  0.000  0.000  0.000

Results
The calculation puts the total energy at -24.33 eV/atom. The spin magnetization is 2.6 μB per cell. The energy of formation comes out at 1.480 eV/atom.

=====

(10)
A PBEsol-optimized structure of Sm3GaCoS7. Source: the Alexandria database, functional meta-GGA SCAN.

Cell: 6.115 9.530 9.530 Å, 120.00 90.00 90.00°
Sites, in units of the cell vectors:
Sm  0.173  0.835  0.210
Sm  0.173  0.790  0.626
Sm  0.673  0.165  0.790
Sm  0.673  0.210  0.374
Sm  0.173  0.374  0.165
Sm  0.673  0.626  0.835
S  0.265  0.780  0.902
S  0.265  0.122  0.220
S  0.961  0.667  0.333
S  0.765  0.878  0.780
S  0.265  0.098  0.878
S  0.451  0.525  0.443
S  0.765  0.902  0.122
S  0.765  0.220  0.098
S  0.951  0.443  0.918
S  0.461  0.333  0.667
S  0.951  0.082  0.525
S  0.451  0.557  0.082
S  0.951  0.475  0.557
S  0.451  0.918  0.475
Ga  0.096  0.333  0.667
Ga  0.596  0.667  0.333
Co  0.013  0.000  0.000
Co  0.513  0.000  0.000

Results
The calculation puts the total energy at -21.25 eV/atom. The spin magnetization is 2.0 μB per cell. The energy relative to the elements, uncorrected is -1.72 eV per atom.

=====

(11)
A PBEsol-optimized structure of GaCo2Sb. Source: the Alexandria database, functional meta-GGA SCAN.

Cell: 4.232 4.232 4.232 Å, 60.00 60.00 60.00°
Sites, in units of the cell vectors:
Ga  0.000  0.000  0.000
Co  0.750  0.750  0.750
Co  0.250  0.250  0.250
Sb  0.500  0.500  0.500

Results
The calculation puts the total energy at -21.93 eV/atom. The spin magnetization is 1.9 μB per cell. The energy relative to the elements, uncorrected is 0.13 eV per atom.

=====

(12)
A PBEsol-optimized structure of Sc2GaCo2. Source: the Alexandria database, functional meta-GGA SCAN.

Cell: 3.717 6.385 6.385 Å, 90.00 90.00 90.00°
Sites, in units of the cell vectors:
Co  0.000  0.877  0.623
Co  0.000  0.623  0.123
Co  0.000  0.377  0.877
Co  0.000  0.123  0.377
Sc  0.500  0.320  0.180
Sc  0.500  0.180  0.680
Sc  0.500  0.820  0.320
Sc  0.500  0.680  0.820
Ga  0.000  0.500  0.500
Ga  0.000  0.000  0.000

Results
The calculation puts the total energy at -16.24 eV/atom. The spin magnetization is 3.0 μB per cell. The energy of formation comes out at -0.357 eV/atom.